1.
# PBE Pm2Pr5Ho2, relaxed
# - Total magnetic moment: 0.0 μB/cell
# - Calculated formation energy: 0.208 eV per atom
# - Energy above the lowest structure with this stoichiometry: 0.191 eV per atom
data_Pm2Pr5Ho2
_cell_length_a 15.108
_cell_length_b 11.977
_cell_length_c 6.942
_cell_angle_alpha 90.00
_cell_angle_beta 90.00
_cell_angle_gamma 90.00
_space_group_name_H-M_alt 'I m a 2'
_space_group_IT_number 46
loop_
_space_group_symop_operation_xyz
'x,y,z'
'-x,-y,z'
'-x+1/2,y,z'
'x+1/2,-y,z'
'x+1/2,y+1/2,z+1/2'
'-x+1/2,-y+1/2,z+1/2'
'-x,y+1/2,z+1/2'
'x,-y+1/2,z+1/2'
loop_
_atom_site_label
_atom_site_fract_x
_atom_site_fract_y
_atom_site_fract_z
Pm1 0.127 0.004 0.000
Pr1 0.053 0.744 0.660
Pr2 0.143 0.233 0.324
Pr3 0.250 0.745 0.356
Ho1 0.000 0.000 0.488
Ho2 0.250 0.008 0.549

=====

2.
# PBE Zr2MnAl2Co5, relaxed
# - Total magnetic moment: 11.2 μB/cell
# - Calculated formation energy: -0.195 eV per atom
data_Zr2MnAl2Co5
_cell_length_a 9.321
_cell_length_b 9.321
_cell_length_c 3.218
_cell_angle_alpha 90.00
_cell_angle_beta 90.00
_cell_angle_gamma 90.00
_space_group_name_H-M_alt 'P 4/m b m'
_space_group_IT_number 127
_space_group_name_Hall '-P 4 2ab'
loop_
_atom_site_label
_atom_site_fract_x
_atom_site_fract_y
_atom_site_fract_z
Zr1 0.174 0.326 0.000
Mn1 0.000 0.000 0.000
Al1 0.124 0.624 0.000
Co1 0.000 0.500 0.500
Co2 0.057 0.798 0.500

=====

3.
# PBE Ag3Os, relaxed
# - Total magnetic moment: 2.2 μB/cell
# - Calculated formation energy: 1.849 eV per atom
# - Energy above the lowest structure with this stoichiometry: 1.448 eV per atom
data_Ag3Os
_cell_length_a 5.196
_cell_length_b 5.196
_cell_length_c 5.196
_cell_angle_alpha 90.00
_cell_angle_beta 90.00
_cell_angle_gamma 90.00
_space_group_name_H-M_alt 'P m -3 m'
_space_group_IT_number 221
_space_group_name_Hall '-P 4 2 3'
loop_
_atom_site_label
_atom_site_fract_x
_atom_site_fract_y
_atom_site_fract_z
Ag1 0.000 0.000 0.500
Os1 0.000 0.000 0.000